1.
Material: ErSi2Ni5
Method: DFT, PBE-GGA
State: optimized geometry

Calculated values
**Volume**: 212.7 Å³/cell
**ΔE_f (raw)**: -612 meV/atom
**D(E_F)**: 8.63 states/eV/cell
**Magnetization**: 0.000 μB per formula unit
**SG**: Immm

abc: 3.5574 6.5871 9.0758
angles: 90.00 90.00 90.00
Last column: nearest neighbours and their distance in Å.
Element x y z (fractional)
Er 0.0000 0.0000 0.0000  4 Si 2.91, 8 Ni 3.02
Er 0.5000 0.5000 0.5000  4 Si 2.91, 8 Ni 3.02
Si 0.0000 0.5000 0.2467  7 Ni 2.24-2.35
Si 0.0000 0.5000 0.7533  7 Ni 2.24-2.35
Si 0.5000 0.0000 0.2533  7 Ni 2.24-2.35
Si 0.5000 0.0000 0.7467  7 Ni 2.24-2.35
Ni 0.0000 0.1894 0.3527  3 Si 2.26-2.35, 1 Ni 2.49
Ni 0.0000 0.1894 0.6473  3 Si 2.26-2.35, 1 Ni 2.49
Ni 0.0000 0.5000 0.0000  2 Si 2.24
Ni 0.0000 0.8106 0.3527  3 Si 2.26-2.35, 1 Ni 2.49
Ni 0.0000 0.8106 0.6473  3 Si 2.26-2.35, 1 Ni 2.49
Ni 0.5000 0.0000 0.5000  2 Si 2.24
Ni 0.5000 0.3106 0.1473  3 Si 2.26-2.35, 1 Ni 2.49
Ni 0.5000 0.3106 0.8527  3 Si 2.26-2.35, 1 Ni 2.49
Ni 0.5000 0.6894 0.1473  3 Si 2.26-2.35, 1 Ni 2.49
Ni 0.5000 0.6894 0.8527  3 Si 2.26-2.35, 1 Ni 2.49

---

2.
Material: Er2Si4Ni5
Method: DFT, PBE-GGA
State: optimized geometry

Calculated values
**Volume**: 161.8 Å³/cell
**ΔE_f (raw)**: -702 meV/atom
**D(E_F)**: 8.40 states/eV/cell
**Magnetization**: 0.000 μB per formula unit
**SG**: Fmmm

abc: 8.0937 7.1939 5.2752
angles: 79.31 60.86 39.83
Last column: nearest neighbours and their distance in Å.
Element x y z (fractional)
Er 0.1395 0.1395 0.8605  8 Si 2.98-3.33, 10 Ni 3.02-3.24
Er 0.8605 0.8605 0.1395  8 Si 2.98-3.33, 10 Ni 3.02-3.24
Si 0.2186 0.5159 0.4841  5 Ni 2.23-2.40
Si 0.4841 0.7814 0.2186  5 Ni 2.23-2.40
Si 0.5159 0.2186 0.7814  5 Ni 2.23-2.40
Si 0.7814 0.4841 0.5159  5 Ni 2.23-2.40
Ni 0.0000 0.0000 0.5000  4 Si 2.40, 4 Ni 2.64-2.65
Ni 0.2500 0.2500 0.2500  4 Si 2.25
Ni 0.5000 0.5000 0.0000  4 Si 2.40, 4 Ni 2.64-2.65
Ni 0.5000 0.5000 0.5000  4 Si 2.23
Ni 0.7500 0.7500 0.7500  4 Si 2.25

---

3.
Material: Er4Si3Ni
Method: DFT, PBE-GGA
State: optimized geometry

Calculated values
**Volume**: 167.6 Å³/cell
**ΔE_f (raw)**: -729 meV/atom
**D(E_F)**: 6.21 states/eV/cell
**Magnetization**: 0.000 μB per formula unit
**SG**: Pmm2

abc: 3.8438 4.1501 10.5050
angles: 90.00 90.00 90.00
Last column: nearest neighbours and their distance in Å.
Element x y z (fractional)
Er 0.0000 0.0000 0.0000  6 Si 2.93-3.12, 1 Ni 2.97
Er 0.0000 0.5000 0.4925  5 Si 2.92-3.01, 2 Ni 3.03
Er 0.5000 0.0000 0.7109  7 Si 2.92-3.06
Er 0.5000 0.5000 0.2172  4 Ni 2.91, 3 Si 3.01-3.07
Si 0.0000 0.5000 0.7786  2 Si 2.46
Si 0.5000 0.0000 0.4242  2 Ni 2.43
Si 0.5000 0.5000 0.9254  2 Si 2.46
Ni 0.0000 0.0000 0.2827  2 Si 2.43

---

4.
Material: Er2SiNi6
Method: DFT, PBE-GGA
State: optimized geometry

Calculated values
**Volume**: 130.0 Å³/cell
**ΔE_f (raw)**: -485 meV/atom
**D(E_F)**: 6.24 states/eV/cell
**Magnetization**: 0.000 μB per formula unit
**SG**: Fm-3m

abc: 5.6860 5.6860 5.6860
angles: 60.00 60.00 60.00
Last column: nearest neighbours and their distance in Å.
Element x y z (fractional)
Er 0.2500 0.2500 0.2500  12 Ni 2.85
Er 0.7500 0.7500 0.7500  12 Ni 2.85
Si 0.0000 0.0000 0.0000  6 Ni 2.25
Ni 0.2796 0.2796 0.7204  1 Si 2.25, 4 Ni 2.51
Ni 0.2796 0.7204 0.2796  1 Si 2.25, 4 Ni 2.51
Ni 0.2796 0.7204 0.7204  1 Si 2.25, 4 Ni 2.51
Ni 0.7204 0.2796 0.2796  1 Si 2.25, 4 Ni 2.51
Ni 0.7204 0.2796 0.7204  1 Si 2.25, 4 Ni 2.51
Ni 0.7204 0.7204 0.2796  1 Si 2.25, 4 Ni 2.51

---

5.
Material: ErSi3Ni5
Method: DFT, PBE-GGA
State: optimized geometry

Calculated values
**Volume**: 245.5 Å³/cell
**ΔE_f (raw)**: -661 meV/atom
**D(E_F)**: 9.41 states/eV/cell
**Magnetization**: 0.000 μB per formula unit
**SG**: Cmcm

abc: 6.1164 6.1164 11.5388
angles: 90.00 90.00 145.34
Last column: nearest neighbours and their distance in Å.
Element x y z (fractional)
Er 0.1575 0.8425 0.7500  7 Si 3.06-3.23, 10 Ni 3.25-3.42
Er 0.8425 0.1575 0.2500  7 Si 3.06-3.23, 10 Ni 3.25-3.42
Si 0.1143 0.8857 0.2500  6 Ni 2.31
Si 0.3830 0.6170 0.0412  7 Ni 2.19-2.41
Si 0.3830 0.6170 0.4588  7 Ni 2.19-2.41
Si 0.6170 0.3830 0.5412  7 Ni 2.19-2.41
Si 0.6170 0.3830 0.9588  7 Ni 2.19-2.41
Si 0.8857 0.1143 0.7500  6 Ni 2.31
Ni 0.0000 0.0000 0.0000  4 Si 2.33, 6 Ni 2.44-2.55
Ni 0.0000 0.0000 0.5000  4 Si 2.33, 6 Ni 2.44-2.55
Ni 0.1974 0.8026 0.0687  4 Si 2.19-2.41, 1 Ni 2.44
Ni 0.1974 0.8026 0.4313  4 Si 2.19-2.41, 1 Ni 2.44
Ni 0.4495 0.5505 0.6456  4 Si 2.29-2.31, 3 Ni 2.41-2.55
Ni 0.4495 0.5505 0.8544  4 Si 2.29-2.31, 3 Ni 2.41-2.55
Ni 0.5505 0.4495 0.1456  4 Si 2.29-2.31, 3 Ni 2.41-2.55
Ni 0.5505 0.4495 0.3544  4 Si 2.29-2.31, 3 Ni 2.41-2.55
Ni 0.8026 0.1974 0.5687  4 Si 2.19-2.41, 1 Ni 2.44
Ni 0.8026 0.1974 0.9313  4 Si 2.19-2.41, 1 Ni 2.44

---

6.
Material: ErSi2Ni4
Method: DFT, PBE-GGA
State: optimized geometry

Calculated values
**Volume**: 378.6 Å³/cell
**ΔE_f (raw)**: -594 meV/atom
**D(E_F)**: 18.50 states/eV/cell
**Magnetization**: 0.000 μB per formula unit
**SG**: Pnma

abc: 15.9124 3.9339 6.0479
angles: 90.00 90.00 90.00
Last column: nearest neighbours and their distance in Å.
Element x y z (fractional)
Er 0.1396 0.2500 0.0056  9 Ni 2.77-2.97, 4 Si 2.95-3.00
Er 0.3604 0.7500 0.5056  9 Ni 2.77-2.97, 4 Si 2.95-3.00
Er 0.6396 0.2500 0.4944  9 Ni 2.77-2.97, 4 Si 2.95-3.00
Er 0.8604 0.7500 0.9944  9 Ni 2.77-2.97, 4 Si 2.95-3.00
Si 0.0406 0.7500 0.2609  7 Ni 2.33-2.47
Si 0.2178 0.2500 0.5221  7 Ni 2.28-2.37
Si 0.2822 0.7500 0.0221  7 Ni 2.28-2.37
Si 0.4594 0.2500 0.7609  7 Ni 2.33-2.47
Si 0.5406 0.7500 0.2391  7 Ni 2.33-2.47
Si 0.7178 0.2500 0.9779  7 Ni 2.28-2.37
Si 0.7822 0.7500 0.4779  7 Ni 2.28-2.37
Si 0.9594 0.2500 0.7391  7 Ni 2.33-2.47
Ni 0.0258 0.7500 0.8536  3 Si 2.34-2.47
Ni 0.0726 0.2500 0.4938  4 Si 2.32-2.47
Ni 0.1879 0.7500 0.3175  4 Si 2.33-2.37, 1 Ni 2.44
Ni 0.1967 0.7500 0.7197  3 Si 2.28-2.33, 1 Ni 2.44
Ni 0.3033 0.2500 0.2197  3 Si 2.28-2.33, 1 Ni 2.44
Ni 0.3121 0.2500 0.8175  4 Si 2.33-2.37, 1 Ni 2.44
Ni 0.4274 0.7500 0.9938  4 Si 2.32-2.47
Ni 0.4742 0.2500 0.3536  3 Si 2.34-2.47
Ni 0.5258 0.7500 0.6464  3 Si 2.34-2.47
Ni 0.5726 0.2500 0.0062  4 Si 2.32-2.47
Ni 0.6879 0.7500 0.1825  4 Si 2.33-2.37, 1 Ni 2.44
Ni 0.6967 0.7500 0.7803  3 Si 2.28-2.33, 1 Ni 2.44
Ni 0.8033 0.2500 0.2803  3 Si 2.28-2.33, 1 Ni 2.44
Ni 0.8121 0.2500 0.6825  4 Si 2.33-2.37, 1 Ni 2.44
Ni 0.9274 0.7500 0.5062  4 Si 2.32-2.47
Ni 0.9742 0.2500 0.1464  3 Si 2.34-2.47

---

7.
Material: ErSi2Ni3
Method: DFT, PBE-GGA
State: optimized geometry

Calculated values
**Volume**: 252.1 Å³/cell
**ΔE_f (raw)**: -775 meV/atom
**D(E_F)**: 10.90 states/eV/cell
**Magnetization**: 0.000 μB per formula unit
**SG**: C2/m

abc: 7.8487 7.8487 9.2457
angles: 107.20 107.20 27.69
Last column: nearest neighbours and their distance in Å.
Element x y z (fractional)
Er 0.0000 0.0000 0.0000  6 Ni 2.91-3.01, 6 Si 2.92-2.95
Er 0.1556 0.1556 0.6983  6 Si 2.90-2.96, 10 Ni 2.99-3.23
Er 0.8444 0.8444 0.3017  6 Si 2.90-2.96, 10 Ni 2.99-3.23
Si 0.1998 0.1998 0.1310  6 Ni 2.32-2.39
Si 0.3614 0.3614 0.5486  7 Ni 2.24-2.38
Si 0.4682 0.4682 0.2256  5 Ni 2.30-2.47
Si 0.5318 0.5318 0.7744  5 Ni 2.30-2.47
Si 0.6386 0.6386 0.4514  7 Ni 2.24-2.38
Si 0.8002 0.8002 0.8690  6 Ni 2.32-2.39
Ni 0.0465 0.0465 0.3404  4 Si 2.30-2.38, 1 Ni 2.49
Ni 0.2165 0.2165 0.3928  4 Si 2.24-2.37, 1 Ni 2.49
Ni 0.3227 0.3227 0.0322  4 Si 2.32-2.39, 1 Ni 2.52
Ni 0.3748 0.3748 0.7979  4 Si 2.25-2.47
Ni 0.5000 0.5000 0.5000  4 Si 2.29-2.43
Ni 0.6252 0.6252 0.2021  4 Si 2.25-2.47
Ni 0.6773 0.6773 0.9678  4 Si 2.32-2.39, 1 Ni 2.52
Ni 0.7835 0.7835 0.6072  4 Si 2.24-2.37, 1 Ni 2.49
Ni 0.9535 0.9535 0.6596  4 Si 2.30-2.38, 1 Ni 2.49

---

8.
Material: Er2Si2Ni5
Method: DFT, PBE-GGA
State: optimized geometry

Calculated values
**Volume**: 130.9 Å³/cell
**ΔE_f (raw)**: -622 meV/atom
**D(E_F)**: 3.62 states/eV/cell
**Magnetization**: 0.000 μB per formula unit
**SG**: P4/mmm

abc: 3.9748 3.9748 8.2860
angles: 90.00 90.00 90.00
Last column: nearest neighbours and their distance in Å.
Element x y z (fractional)
Er 0.0000 0.0000 0.0000  8 Ni 3.03, 8 Si 3.06
Er 0.0000 0.0000 0.5000  12 Ni 2.72-2.81
Si 0.5000 0.5000 0.1472  4 Ni 2.26, 1 Si 2.44
Si 0.5000 0.5000 0.8528  4 Ni 2.26, 1 Si 2.44
Ni 0.0000 0.5000 0.2765  2 Si 2.26
Ni 0.0000 0.5000 0.7235  2 Si 2.26
Ni 0.5000 0.0000 0.2765  2 Si 2.26
Ni 0.5000 0.0000 0.7235  2 Si 2.26
Ni 0.5000 0.5000 0.5000  8 Ni 2.72, 4 Er 2.81, 2 Si 2.92

---

9.
Material: Er2Si4Ni3
Method: DFT, PBE-GGA
State: optimized geometry

Calculated values
**Volume**: 266.4 Å³/cell
**ΔE_f (raw)**: -731 meV/atom
**D(E_F)**: 8.87 states/eV/cell
**Magnetization**: 0.000 μB per formula unit
**SG**: Cmce

abc: 7.5715 7.5715 7.0449
angles: 90.00 90.00 138.73
Last column: nearest neighbours and their distance in Å.
Element x y z (fractional)
Er 0.1072 0.8928 0.9022  8 Si 2.86-3.10, 4 Ni 2.88-3.15
Er 0.3928 0.6072 0.4022  8 Si 2.86-3.10, 4 Ni 2.88-3.15
Er 0.6072 0.3928 0.5978  8 Si 2.86-3.10, 4 Ni 2.88-3.15
Er 0.8928 0.1072 0.0978  8 Si 2.86-3.10, 4 Ni 2.88-3.15
Si 0.1815 0.8185 0.5165  5 Ni 2.40-2.58
Si 0.1859 0.3141 0.7500  3 Ni 2.34-2.39
Si 0.3141 0.1859 0.2500  3 Ni 2.34-2.39
Si 0.3185 0.6815 0.0165  5 Ni 2.40-2.58
Si 0.6815 0.3185 0.9835  5 Ni 2.40-2.58
Si 0.6859 0.8141 0.7500  3 Ni 2.34-2.39
Si 0.8141 0.6859 0.2500  3 Ni 2.34-2.39
Si 0.8185 0.1815 0.4835  5 Ni 2.40-2.58
Ni 0.0000 0.0000 0.5000  6 Si 2.39-2.58
Ni 0.0211 0.4789 0.7500  5 Si 2.34-2.47
Ni 0.4789 0.0211 0.2500  5 Si 2.34-2.47
Ni 0.5000 0.5000 0.0000  6 Si 2.39-2.58
Ni 0.5211 0.9789 0.7500  5 Si 2.34-2.47
Ni 0.9789 0.5211 0.2500  5 Si 2.34-2.47